Entry from Alexandria: a geometry-optimized NaSr6Pd structure (PBE-GGA).

Calculated values
Calculated formation energy: -0.136 eV per atom
E: -2.21 eV per atom

Cell lengths 7.5470, 7.5470, 7.4553 Å; angles 99.76, 99.76, 101.27 degrees
Element x y z (fractional)
Na 0.0000 0.0000 0.0000
Sr 0.2161 0.5823 0.2185
Sr 0.2191 0.2191 0.5978
Sr 0.4177 0.7839 0.7815
Sr 0.5823 0.2161 0.2185
Sr 0.7809 0.7809 0.4022
Sr 0.7839 0.4177 0.7815
Pd 0.5000 0.5000 0.5000